1.
! Rb2Li2ZnCl6 (GGA-PBE, relaxed); values from VASP
&SYSTEM
  ibrav = 0, nat = 11, ntyp = 4
/
ATOMIC_SPECIES
Li 6.94 Li.upf
Zn 65.41 Zn.upf
Cl 35.45 Cl.upf
Rb 85.47 Rb.upf
CELL_PARAMETERS angstrom
-5.090 -2.854 4.268
1.840 -3.305 -6.138
5.097 -0.993 5.415
ATOMIC_POSITIONS angstrom
Li 1.378 -1.023 0.959
Zn 0.004 -1.923 4.842
Li 0.470 -6.128 2.586
Cl 0.311 -4.176 3.701
Cl 2.496 -1.813 4.973
Cl 1.537 -2.975 -0.156
Rb -1.978 -3.559 1.385
Cl -0.648 -5.338 -1.428
Rb 3.825 -3.592 2.160
Cl 1.774 -3.980 -3.459
Cl 0.073 -3.171 7.004
! space-group type	No. 12
! energy relative to the elements, uncorrected	-1617	meV per atom


2.
! GaBSe (GGA-PBE, relaxed); values from VASP
&SYSTEM
  ibrav = 0, nat = 12, ntyp = 3
/
ATOMIC_SPECIES
Se 78.96 Se.upf
B 10.81 B.upf
Ga 69.72 Ga.upf
CELL_PARAMETERS angstrom
-2.229 -2.874 0.649
4.222 -1.484 7.932
-4.479 4.191 3.168
ATOMIC_POSITIONS angstrom
Se -2.257 0.392 2.996
B -2.201 -0.983 7.618
Se -1.025 -1.586 8.985
Se 0.493 -3.428 6.046
B -1.083 -0.211 4.364
B -4.301 2.228 4.108
Ga -1.548 -1.971 5.487
Ga -1.735 0.777 6.495
Ga -5.740 0.811 3.404
Se -3.776 2.234 5.935
B 1.018 -3.423 7.873
Ga 2.457 -2.004 8.577
! space-group type	No. 62
! energy relative to the elements, uncorrected	303	meV per atom


3.
! LaIn2Br (GGA-PBE, relaxed); values from VASP
&SYSTEM
  ibrav = 0, nat = 4, ntyp = 3
/
ATOMIC_SPECIES
In 114.82 In.upf
La 138.91 La.upf
Br 79.90 Br.upf
CELL_PARAMETERS angstrom
1.836 -5.191 0.826
2.008 -1.484 4.977
-2.886 -3.491 3.237
ATOMIC_POSITIONS angstrom
In 0.239 -2.542 2.260
In 0.718 -7.625 6.780
La 0.479 -5.083 4.520
Br 0.000 0.000 0.000
! space-group type	No. 225
! energy relative to the elements, uncorrected	-186	meV per atom


4.
! DyHo3Th (GGA-PBE, relaxed); values from VASP
&SYSTEM
  ibrav = 0, nat = 10, ntyp = 3
/
ATOMIC_SPECIES
Ho 164.93 Ho.upf
Dy 162.50 Dy.upf
Th 232.04 Th.upf
CELL_PARAMETERS angstrom
6.313 0.460 0.000
-2.725 4.806 0.000
0.000 0.000 10.901
ATOMIC_POSITIONS angstrom
Ho 4.669 1.137 5.581
Ho 0.421 1.611 8.176
Ho 3.168 3.655 2.725
Dy 3.226 0.522 2.725
Ho 4.669 1.137 10.771
Th 0.089 1.761 2.725
Ho -1.080 4.129 0.130
Dy 0.362 4.744 8.176
Th 3.499 3.505 8.176
Ho -1.080 4.129 5.320
! space-group type	No. 11
! energy of formation from the pure elements	9.43	kcal/mol of atoms


5.
! Al3TcN (GGA-PBE, relaxed); values from VASP
&SYSTEM
  ibrav = 0, nat = 5, ntyp = 3
/
ATOMIC_SPECIES
Al 26.98 Al.upf
N 14.01 N.upf
Tc 98.00 Tc.upf
CELL_PARAMETERS angstrom
3.979 0.000 0.000
0.000 3.979 0.000
0.000 0.000 3.979
ATOMIC_POSITIONS angstrom
Al 0.000 0.000 1.990
Al 0.000 1.990 0.000
N 0.000 0.000 0.000
Tc 1.990 1.990 1.990
Al 1.990 0.000 0.000
! space-group type	No. 221
! energy relative to the elements, uncorrected	-190	meV per atom


6.
! Gd2RuBr (GGA-PBE, relaxed); values from VASP
&SYSTEM
  ibrav = 0, nat = 4, ntyp = 3
/
ATOMIC_SPECIES
Gd 157.25 Gd.upf
Ru 101.07 Ru.upf
Br 79.90 Br.upf
CELL_PARAMETERS angstrom
-3.254 -1.744 1.559
-2.304 -2.350 -2.287
2.384 -7.472 1.766
ATOMIC_POSITIONS angstrom
Gd -2.152 -9.004 0.887
Ru 0.000 0.000 0.000
Gd -1.022 -2.562 0.152
Br -1.587 -5.783 0.519
! space-group type	No. 166
! energy relative to the elements, uncorrected	-796	meV per atom


7.
! Sr2GeP2 (GGA-PBE, relaxed); values from VASP
&SYSTEM
  ibrav = 0, nat = 10, ntyp = 3
/
ATOMIC_SPECIES
Sr 87.62 Sr.upf
P 30.97 P.upf
Ge 72.64 Ge.upf
CELL_PARAMETERS angstrom
7.359 0.000 0.000
0.000 7.359 0.000
0.000 0.000 4.496
ATOMIC_POSITIONS angstrom
Sr 1.357 5.036 2.248
P 6.559 4.480 0.000
Sr 6.002 2.323 2.248
Sr 5.036 6.002 2.248
P 0.800 2.879 0.000
P 4.480 0.800 0.000
Ge 3.679 3.679 0.000
P 2.879 6.559 0.000
Sr 2.323 1.357 2.248
Ge 0.000 0.000 0.000
! space-group type	No. 127
! energy of formation from the pure elements	-15.93	kcal/mol of atoms


8.
! GaTe2CI (GGA-PBE, relaxed); values from VASP
&SYSTEM
  ibrav = 0, nat = 5, ntyp = 4
/
ATOMIC_SPECIES
C 12.01 C.upf
I 126.90 I.upf
Te 127.60 Te.upf
Ga 69.72 Ga.upf
CELL_PARAMETERS angstrom
5.453 0.000 0.000
0.000 5.453 0.000
0.000 0.000 5.534
ATOMIC_POSITIONS angstrom
C 2.726 2.726 2.767
I 0.000 0.000 2.767
Te 2.726 0.000 0.000
Te 0.000 2.726 0.000
Ga 0.000 0.000 0.000
! space-group type	No. 123
! energy relative to the elements, uncorrected	1670	meV per atom


Fermi-level density of states: 0.0000, 0.3689, 1.1526, 1.3002, 0.1718, 0.4611, 0.3446, 1.4484 (states/eV per atom)
Total DFT energy (no corrections): -35.90, -49.11, -12.82, -47.42, -30.87, -42.29, -44.51, -11.74 (eV per cell)
Magnetization: 0.00, 0.00, 0.00, 0.00, 1.00, 14.41, 0.00, 0.74 (μB/cell)